A plane-wave DFT calculation with GGA-PBE was carried out for a relaxed structure of YMoBr.

Output
As for the raw formation energy: 0.1886 eV/atom. Its final energy is -6.13 eV per atom. The calculation puts the total magnetization at 2.164 μB per cell.

abc: 3.4938 3.4938 6.9056
angles: 90.00 90.00 120.00
Space group P3m1 (No. 156)
Symmetry-distinct sites (fractional):
Y (0.0000, 0.0000, 0.0000) [1 per cell]
Mo (0.3333, 0.6667, 0.6839) [1 per cell]
Br (0.6667, 0.3333, 0.3167) [1 per cell]



A plane-wave DFT calculation with GGA-PBE was carried out for a relaxed structure of NbHPtW2.

Output
Its final energy is -9.16 eV per atom. The calculation puts the total magnetization at 0.000 μB per cell.

abc: 4.0429 4.0429 4.1184
angles: 90.00 90.00 90.00
Space group P4/mmm (No. 123)
Symmetry-distinct sites (fractional):
Nb (0.0000, 0.0000, 0.0000) [1 per cell]
H (0.0000, 0.0000, 0.5000) [1 per cell]
Pt (0.5000, 0.5000, 0.0000) [1 per cell]
W (0.0000, 0.5000, 0.5000) [2 per cell]



A plane-wave DFT calculation with GGA-PBE was carried out for a relaxed structure of Ce2Co4Ge3Sb.

Output
As for the raw formation energy: -0.5310 eV/atom. Its final energy is -6.36 eV per atom. The calculation puts the total magnetization at 0.208 μB per cell.

abc: 4.2088 4.2088 9.6031
angles: 90.00 90.00 90.00
Space group P-4m2 (No. 115)
Symmetry-distinct sites (fractional):
Ce (0.0000, 0.5000, 0.2363) [2 per cell]
Co (0.0000, 0.0000, 0.0000) [1 per cell]
Co (0.0000, 0.5000, 0.6336) [2 per cell]
Co (0.5000, 0.5000, 0.0000) [1 per cell]
Ge (0.0000, 0.5000, 0.8768) [2 per cell]
Ge (0.5000, 0.5000, 0.5000) [1 per cell]
Sb (0.0000, 0.0000, 0.5000) [1 per cell]



A plane-wave DFT calculation with GGA-PBE was carried out for a relaxed structure of TbLu2.

Output
The formation energy is 0.2850 eV per atom. Its final energy is -4.27 eV per atom. The calculation puts the total magnetization at 20.937 μB per cell.

abc: 9.2207 9.2207 9.2207
angles: 90.00 90.00 90.00
Space group Fd-3m (No. 227, origin choice 2)
Symmetry-distinct sites (fractional):
Tb (0.1250, 0.1250, 0.1250) [8 per cell]
Lu (0.0000, 0.0000, 0.5000) [16 per cell]



A plane-wave DFT calculation with GGA-PBE was carried out for a relaxed structure of SrBeRh2.

Output
The formation energy is 0.3594 eV per atom. Its final energy is -4.67 eV per atom. The calculation puts the total magnetization at 0.041 μB per cell.

abc: 6.5201 6.5201 6.5201
angles: 90.00 90.00 90.00
Space group F-43m (No. 216)
Symmetry-distinct sites (fractional):
Sr (0.0000, 0.0000, 0.0000) [4 per cell]
Be (0.2500, 0.2500, 0.7500) [4 per cell]
Rh (0.0000, 0.0000, 0.5000) [4 per cell]
Rh (0.2500, 0.2500, 0.2500) [4 per cell]



A plane-wave DFT calculation with GGA-PBE was carried out for a relaxed structure of CsKRb2Cu.

Output
The formation energy is 0.2134 eV per atom. Its final energy is -1.38 eV per atom. The calculation puts the total magnetization at 0.000 μB per cell.

abc: 7.0970 7.0970 6.8718
angles: 90.00 90.00 90.00
Space group P4/mmm (No. 123)
Symmetry-distinct sites (fractional):
Cs (0.0000, 0.0000, 0.0000) [1 per cell]
K (0.5000, 0.5000, 0.0000) [1 per cell]
Rb (0.0000, 0.5000, 0.5000) [2 per cell]
Cu (0.5000, 0.5000, 0.5000) [1 per cell]